No. 1
Here is crystalline Li3SmRh4O12 at its relaxed geometry from Alexandria. Energies are from PBE-GGA.

Output
Formation energy (no corrections): -1.27 eV per atom
Calculated volume: 10.61 Å³ per atom
SG: Im-3

Lattice parameters (Å, degrees): 6.5090 6.5090 6.5090 109.47 109.47 109.47
With the nearest neighbours (Å) after each atom.
Fractional coordinates of all 20 atoms:
Li  0.0000  0.5000  0.5000  4 O 2.00
Li  0.5000  0.0000  0.5000  4 O 2.00
Li  0.5000  0.5000  0.0000  4 O 2.00
Sm  0.0000  0.0000  0.0000  12 O 2.60
Rh  0.0000  0.0000  0.5000  6 O 2.00
Rh  0.0000  0.5000  0.0000  6 O 2.00
Rh  0.5000  0.0000  0.0000  6 O 2.00
Rh  0.5000  0.5000  0.5000  6 O 2.00
O  0.1247  0.8261  0.2986  2 Rh 2.00, 1 Li 2.00
O  0.1739  0.2986  0.4725  2 Rh 2.00, 1 Li 2.00
O  0.1739  0.7014  0.8753  2 Rh 2.00, 1 Li 2.00
O  0.2986  0.1247  0.8261  2 Rh 2.00, 1 Li 2.00
O  0.2986  0.4725  0.1739  2 Rh 2.00, 1 Li 2.00
O  0.4725  0.1739  0.2986  2 Rh 2.00, 1 Li 2.00
O  0.5275  0.8261  0.7014  2 Rh 2.00, 1 Li 2.00
O  0.7014  0.5275  0.8261  2 Rh 2.00, 1 Li 2.00
O  0.7014  0.8753  0.1739  2 Rh 2.00, 1 Li 2.00
O  0.8261  0.2986  0.1247  2 Rh 2.00, 1 Li 2.00
O  0.8261  0.7014  0.5275  2 Rh 2.00, 1 Li 2.00
O  0.8753  0.1739  0.7014  2 Rh 2.00, 1 Li 2.00


No. 2
Here is crystalline MnFeP2 at its relaxed geometry from Alexandria. Energies are from PBE-GGA.

Output
Formation energy from the elements: -0.40 eV/atom
Polymorph energy (0 for the lowest one): 0.191 eV/atom
Calculated volume: 11.95 Å³ per atom
SG: Pmm2

Lattice parameters (Å, degrees): 2.6420 3.2163 5.6240 90.00 90.00 90.00
With the nearest neighbours (Å) after each atom.
Fractional coordinates of all 4 atoms:
Mn  0.0000  0.0000  0.0000  6 P 2.29
Fe  0.0000  0.5000  0.4994  6 P 2.29
P  0.5000  0.0000  0.3315  2 Mn 2.29, 4 Fe 2.29
P  0.5000  0.5000  0.8322  4 Mn 2.29, 2 Fe 2.29


No. 3
Here is crystalline Tb2PrYSc at its relaxed geometry from Alexandria. Energies are from PBE-GGA.

Output
Formation energy from the elements: 0.04 eV/atom
Calculated volume: 31.24 Å³ per atom
SG: P2_1/m

Lattice parameters (Å, degrees): 7.8864 5.0188 7.8919 90.00 90.49 90.00
With the nearest neighbours (Å) after each atom.
Fractional coordinates of all 10 atoms:
Tb  0.1471  0.2500  0.0465  3 Sc 3.48-3.56, 3 Tb 3.49-3.50, 3 Pr 3.53-3.57, 3 Y 3.53-3.60
Tb  0.3402  0.2500  0.4476  3 Sc 3.47-3.48, 3 Pr 3.50-3.61, 3 Tb 3.50-3.65, 3 Y 3.52-3.57
Tb  0.6598  0.7500  0.5524  3 Sc 3.47-3.48, 3 Pr 3.50-3.61, 3 Tb 3.50-3.65, 3 Y 3.52-3.57
Tb  0.8529  0.7500  0.9535  3 Sc 3.48-3.56, 3 Tb 3.49-3.50, 3 Pr 3.53-3.57, 3 Y 3.53-3.60
Pr  0.2443  0.7500  0.7407  3 Sc 3.43-3.48, 6 Tb 3.50-3.61, 3 Y 3.60-3.61
Pr  0.7557  0.2500  0.2593  3 Sc 3.43-3.48, 6 Tb 3.50-3.61, 3 Y 3.60-3.61
Y  0.4443  0.7500  0.1526  1 Sc 3.50, 6 Tb 3.52-3.60, 2 Y 3.59, 3 Pr 3.60-3.61
Y  0.5557  0.2500  0.8474  1 Sc 3.50, 6 Tb 3.52-3.60, 2 Y 3.59, 3 Pr 3.60-3.61
Sc  0.0488  0.7500  0.3505  3 Pr 3.43-3.48, 6 Tb 3.47-3.56, 1 Y 3.50, 2 Sc 3.53
Sc  0.9512  0.2500  0.6495  3 Pr 3.43-3.48, 6 Tb 3.47-3.56, 1 Y 3.50, 2 Sc 3.53


No. 4
Here is crystalline La2ScP3Ir4 at its relaxed geometry from Alexandria. Energies are from PBE-GGA.

Output
Formation energy from the elements: -1.00 eV/atom
Calculated volume: 18.02 Å³ per atom
SG: P-4m2

Lattice parameters (Å, degrees): 4.0753 4.0753 10.8492 90.00 90.00 90.00
With the nearest neighbours (Å) after each atom.
Fractional coordinates of all 10 atoms:
La  0.0000  0.5000  0.2361  4 P 3.11, 8 Ir 3.12-3.27
La  0.5000  0.0000  0.7639  4 P 3.11, 8 Ir 3.12-3.27
Sc  0.0000  0.0000  0.5000  4 Ir 2.63, 4 P 2.88
P  0.0000  0.5000  0.8724  5 Ir 2.38-2.46
P  0.5000  0.0000  0.1276  5 Ir 2.38-2.46
P  0.5000  0.5000  0.5000  4 Ir 2.63, 4 Sc 2.88
Ir  0.0000  0.0000  0.0000  4 P 2.46
Ir  0.0000  0.5000  0.6530  3 P 2.38-2.63, 2 Sc 2.63
Ir  0.5000  0.0000  0.3470  3 P 2.38-2.63, 2 Sc 2.63
Ir  0.5000  0.5000  0.0000  4 P 2.46


No. 5
Here is crystalline PrPaNbN4 at its relaxed geometry from Alexandria. Energies are from PBE-GGA.

Output
Formation energy (no corrections): -1.16 eV per atom
Calculated volume: 14.55 Å³ per atom
SG: Cmcm

Lattice parameters (Å, degrees): 6.8424 6.8424 5.7339 90.00 90.00 130.66
With the nearest neighbours (Å) after each atom.
Fractional coordinates of all 14 atoms:
Pr  0.1066  0.8934  0.7500  1 N 2.30
Pr  0.8934  0.1066  0.2500  1 N 2.30
Pa  0.3902  0.6098  0.7500  1 N 2.09
Pa  0.6098  0.3902  0.2500  1 N 2.09
Nb  0.2379  0.7621  0.2500  5 N 1.98-2.03
Nb  0.7621  0.2379  0.7500  5 N 1.98-2.03
N  0.0000  0.5000  0.0000  2 Nb 2.03
N  0.0000  0.5000  0.5000  2 Nb 2.03
N  0.0786  0.9214  0.2500  1 Nb 1.98
N  0.4420  0.5580  0.2500  1 Pa 2.09
N  0.5000  0.0000  0.0000  2 Nb 2.03
N  0.5000  0.0000  0.5000  2 Nb 2.03
N  0.5580  0.4420  0.7500  1 Pa 2.09
N  0.9214  0.0786  0.7500  1 Nb 1.98


No. 6
Here is crystalline TlAuSe at its relaxed geometry from Alexandria. Energies are from PBE-GGA.

Output
Formation energy (no corrections): -0.21 eV per atom
Calculated volume: 27.28 Å³ per atom
SG: P-6m2

Lattice parameters (Å, degrees): 4.4884 4.4884 4.6903 90.00 90.00 120.00
With the nearest neighbours (Å) after each atom.
Fractional coordinates of all 3 atoms:
Tl  0.0000  0.0000  0.0000  6 Se 3.49-3.50, 6 Au 3.49-3.50
Au  0.3333  0.6667  0.5000  3 Se 2.59
Se  0.6667  0.3333  0.5000  3 Au 2.59